one | Material: Na6Sr
Method: DFT, PBE
State: optimized geometry

Computed properties:
For the total magnetization, the calculation gives 0.00 μB/atom. The symmetry is P4/mmm, No. 123.

Cell and atoms, written as POSCAR:
```
Na6Sr
1.0
-2.6938 -1.9536 -4.2773
3.5372 -4.0899 -0.3596
-5.8433 -5.6022 6.2387
Na Sr
6 1
Direct
0.5000 0.0000 0.7191 Na
0.5000 0.0000 0.2809 Na
0.0000 0.0000 0.5000 Na
0.0000 0.5000 0.7191 Na
0.5000 0.5000 0.0000 Na
0.0000 0.5000 0.2809 Na
0.0000 0.0000 0.0000 Sr
```

two | Material: Na6Sr
Method: DFT, PBE
State: optimized geometry

Computed properties:
For the total magnetization, the calculation gives 0.00 μB/atom. The symmetry is Pnma, No. 62.

Cell and atoms, written as POSCAR:
```
Na6Sr
1.0
-6.4621 -2.5041 1.2747
0.3508 -5.8141 -9.6429
5.5696 -10.9186 6.7859
Na Sr
24 4
Direct
0.4898 0.9344 0.3081 Na
0.4898 0.4344 0.1919 Na
0.5102 0.0656 0.6919 Na
0.5102 0.5656 0.8081 Na
0.2500 0.6406 0.3523 Na
0.2500 0.8103 0.7598 Na
0.0102 0.9344 0.3081 Na
0.9898 0.0656 0.6919 Na
0.7500 0.5986 0.0208 Na
0.2500 0.9014 0.5208 Na
0.2500 0.3103 0.7402 Na
0.7500 0.1897 0.2402 Na
0.0102 0.4344 0.1919 Na
0.2500 0.1406 0.1477 Na
0.7500 0.3594 0.6477 Na
0.7500 0.9427 0.0822 Na
0.7500 0.0986 0.4792 Na
0.7500 0.6897 0.2598 Na
0.2500 0.5573 0.5822 Na
0.7500 0.8594 0.8523 Na
0.2500 0.0573 0.9178 Na
0.2500 0.4014 0.9792 Na
0.7500 0.4427 0.4178 Na
0.9898 0.5656 0.8081 Na
0.7500 0.2486 0.9335 Sr
0.2500 0.7514 0.0665 Sr
0.2500 0.2514 0.4335 Sr
0.7500 0.7486 0.5665 Sr
```

We find two to be the most stable, with the next structure 0.041 eV/atom higher.

one | Material: Na3Sr7
Method: DFT, PBE
State: optimized geometry

Computed properties:
For the total magnetization, the calculation gives 0.00 μB/atom. The symmetry is C2/m, No. 12.

Cell and atoms, written as POSCAR:
```
Na3Sr7
1.0
6.0426 0.0000 -1.8535
-1.0723 7.1953 -3.4959
0.2980 -0.6740 11.7478
Sr Na
7 3
Direct
0.2046 0.2635 0.4093 Sr
0.5858 0.3132 0.1715 Sr
0.7954 0.7365 0.5907 Sr
0.6209 0.8581 0.2418 Sr
0.4142 0.6868 0.8285 Sr
0.0000 0.5000 0.0000 Sr
0.3791 0.1419 0.7582 Sr
0.1933 0.7252 0.3867 Na
0.8067 0.2748 0.6133 Na
0.0000 0.0000 0.0000 Na
```

two | Material: Na3Sr7
Method: DFT, PBE
State: optimized geometry

Computed properties:
For the total magnetization, the calculation gives 0.00 μB/atom. The symmetry is P6_3mc, No. 186.

Cell and atoms, written as POSCAR:
```
Na3Sr7
1.0
8.0238 0.0000 0.0000
0.0000 12.0692 0.0000
0.0000 -6.0346 10.4523
Sr Na
14 6
Direct
0.1698 0.4687 0.5313 Sr
0.4256 0.7538 0.8769 Sr
0.4256 0.1231 0.8769 Sr
0.6698 0.5313 0.4687 Sr
0.9256 0.8769 0.7538 Sr
0.6698 0.5313 0.0626 Sr
0.4256 0.1231 0.2462 Sr
0.5393 0.3333 0.6667 Sr
0.6698 0.9374 0.4687 Sr
0.9256 0.2462 0.1231 Sr
0.0393 0.6667 0.3333 Sr
0.9256 0.8769 0.1231 Sr
0.1698 0.0626 0.5313 Sr
0.1698 0.4687 0.9374 Sr
0.3608 0.4136 0.2068 Na
0.3608 0.7932 0.5864 Na
0.3608 0.7932 0.2068 Na
0.8608 0.2068 0.7932 Na
0.8608 0.5864 0.7932 Na
0.8608 0.2068 0.4136 Na
```

We find one to be the most stable, with the next structure 0.014 eV/atom higher.

one | Material: Na5Sr7
Method: DFT, PBE
State: optimized geometry

Computed properties:
For the total magnetization, the calculation gives 0.00 μB/atom. The symmetry is C2/m, No. 12.

Cell and atoms, written as POSCAR:
```
Na5Sr7
1.0
-2.4336 -1.8034 5.6523
6.3610 0.5409 -0.7264
-4.2879 15.9253 3.2349
Na Sr
5 7
Direct
0.0000 0.0000 0.0000 Na
0.1465 0.2929 0.4383 Na
0.3986 0.7973 0.1968 Na
0.6014 0.2027 0.8032 Na
0.8535 0.7071 0.5617 Na
0.9285 0.8569 0.7850 Sr
0.6903 0.3807 0.0712 Sr
0.2210 0.4421 0.6640 Sr
0.0715 0.1431 0.2150 Sr
0.7790 0.5579 0.3360 Sr
0.3097 0.6193 0.9288 Sr
0.5000 0.0000 0.5000 Sr
```

two | Material: Na5Sr7
Method: DFT, PBE
State: optimized geometry

Computed properties:
For the total magnetization, the calculation gives 0.00 μB/atom. The symmetry is C2/m, No. 12.

Cell and atoms, written as POSCAR:
```
Na5Sr7
1.0
6.1417 0.0000 1.4557
2.7810 7.0103 1.9507
0.0570 -0.0842 13.4433
Na Sr
5 7
Direct
0.7567 0.2541 0.2324 Na
0.1764 0.1202 0.5271 Na
0.2433 0.7459 0.7676 Na
0.0000 0.0000 0.0000 Na
0.8236 0.8798 0.4729 Na
0.3481 0.3185 0.9853 Sr
0.9121 0.4339 0.7418 Sr
0.6519 0.6815 0.0147 Sr
0.6099 0.0439 0.7363 Sr
0.5000 0.5000 0.5000 Sr
0.0879 0.5661 0.2582 Sr
0.3901 0.9561 0.2637 Sr
```

We find two to be the most stable, with the next structure 0.037 eV/atom higher.